Density functional theory data (PBE) for an optimized crystal structure of Zn3PdBr.

The space group is Pm-3m (No. 221) and the conventional cell measures 4.9099, 4.9099 and 4.9099 Å, with angles of 90.00, 90.00 and 90.00 degrees. The inequivalent atoms are Zn at (0.0000, 0.0000, 0.5000), Pd at (0.0000, 0.0000, 0.0000) and Br at (0.5000, 0.5000, 0.5000).

Its density is 5.37 g cm⁻³. For the polymorph energy (0 for the lowest one), the calculation gives 0.0000 eV/atom. Its density of states at the Fermi level is 1.447 states/eV/cell. The size of the total moment comes out at 0.00 μB/atom.